Entry 1:
Nd2FeSi3: optimized geometry, PBE-GGA.

The calculation puts the uncorrected formation energy at -0.497 eV/atom. As for the symmetry: P-6m2.

```
Nd2FeSi3
1.0
4.086 0.000 0.000
-2.043 3.538 0.000
0.000 0.000 8.445
Nd Fe Si
2 1 3
direct
0.000 0.000 0.247
0.000 0.000 0.753
0.333 0.667 0.000
0.333 0.667 0.500
0.667 0.333 0.000
0.667 0.333 0.500
```

Entry 2:
NdFe3Si2: optimized geometry, PBE-GGA.

The calculation puts the uncorrected formation energy at -0.470 eV/atom. As for the symmetry: C2/m.

```
NdFe3Si2
1.0
7.378 -1.910 0.000
7.378 1.910 0.000
-3.032 0.000 6.468
Nd Fe Si
2 6 4
direct
0.149 0.149 0.061
0.851 0.851 0.939
0.038 0.038 0.387
0.311 0.311 0.542
0.418 0.418 0.362
0.582 0.582 0.638
0.689 0.689 0.458
0.962 0.962 0.613
0.187 0.187 0.671
0.477 0.477 0.807
0.523 0.523 0.193
0.813 0.813 0.329
```

Entry 3:
Nd2FeSi: optimized geometry, PBE-GGA.

The calculation puts the uncorrected formation energy at 0.520 eV/atom. As for the symmetry: R-3m.

```
Nd2FeSi
1.0
1.732 1.000 9.725
-1.732 1.000 9.725
0.000 -1.999 9.725
Nd Fe Si
2 1 1
direct
0.091 0.091 0.091
0.909 0.909 0.909
0.000 0.000 0.000
0.500 0.500 0.500
```

Entry 4:
NdSmFe4: optimized geometry, PBE-GGA.

The total energy is -7.1727 eV per atom. As for the symmetry: F-43m.

```
NdSmFe4
1.0
0.000 3.706 3.706
3.706 0.000 3.706
3.706 3.706 0.000
Nd Sm Fe
1 1 4
direct
0.000 0.000 0.000
0.250 0.250 0.250
0.125 0.625 0.625
0.625 0.125 0.625
0.625 0.625 0.125
0.625 0.625 0.625
```

Entry 5:
NdSm2Fe9: optimized geometry, PBE-GGA.

The total energy is -7.5104 eV per atom. As for the symmetry: R-3m.

```
NdSm2Fe9
1.0
2.589 1.494 8.211
-2.589 1.494 8.211
0.000 -2.989 8.211
Nd Sm Fe
1 2 9
direct
0.000 0.000 0.000
0.142 0.142 0.142
0.858 0.858 0.858
0.084 0.579 0.579
0.333 0.333 0.333
0.421 0.421 0.916
0.421 0.916 0.421
0.500 0.500 0.500
0.579 0.084 0.579
0.579 0.579 0.084
0.667 0.667 0.667
0.916 0.421 0.421
```

Entry 6:
NdSmFe17: optimized geometry, PBE-GGA.

The total energy is -8.0421 eV per atom. As for the symmetry: R3m.

```
NdSmFe17
1.0
4.273 2.467 4.158
-4.273 2.467 4.158
0.000 -4.934 4.158
Nd Sm Fe
1 1 17
direct
0.000 0.000 0.000
0.319 0.319 0.319
0.002 0.002 0.504
0.002 0.504 0.002
0.159 0.659 0.659
0.317 0.317 0.814
0.317 0.814 0.317
0.369 0.659 0.950
0.369 0.950 0.659
0.504 0.002 0.002
0.563 0.563 0.563
0.659 0.159 0.659
0.659 0.369 0.950
0.659 0.659 0.159
0.659 0.950 0.369
0.755 0.755 0.755
0.814 0.317 0.317
0.950 0.369 0.659
0.950 0.659 0.369
```

Entry 7:
Nd2SmFe9: optimized geometry, PBE-GGA.

The total energy is -7.5025 eV per atom. As for the symmetry: R-3m.

```
Nd2SmFe9
1.0
2.589 1.495 8.266
-2.589 1.495 8.266
0.000 -2.990 8.266
Nd Sm Fe
2 1 9
direct
0.142 0.142 0.142
0.858 0.858 0.858
0.000 0.000 0.000
0.084 0.578 0.578
0.333 0.333 0.333
0.422 0.422 0.916
0.422 0.916 0.422
0.500 0.500 0.500
0.578 0.084 0.578
0.578 0.578 0.084
0.667 0.667 0.667
0.916 0.422 0.422
```

Entry 8:
NdSmZnFe: optimized geometry, PBE-GGA.

The total energy is -4.7992 eV per atom. As for the symmetry: F-43m.

```
NdSmZnFe
1.0
0.000 3.578 3.578
3.578 0.000 3.578
3.578 3.578 0.000
Nd Sm Zn Fe
1 1 1 1
direct
0.000 0.000 0.000
0.500 0.500 0.500
0.250 0.250 0.250
0.750 0.750 0.750
```

Entry 9:
NdFe2Sn7: optimized geometry, PBE-GGA.

The total energy is -4.9003 eV per atom. As for the symmetry: Cmmm.

```
NdFe2Sn7
1.0
4.474 -6.082 0.000
4.474 6.082 0.000
0.000 0.000 4.877
Nd Fe Sn
1 2 7
direct
0.000 0.000 0.000
0.296 0.704 0.500
0.704 0.296 0.500
0.071 0.334 0.500
0.288 0.712 0.000
0.334 0.071 0.500
0.500 0.500 0.500
0.666 0.929 0.500
0.712 0.288 0.000
0.929 0.666 0.500
```

Entry 10:
Nd3FeSn: optimized geometry, PBE-GGA.

The total energy is -5.5263 eV per atom. As for the symmetry: Pm-3m.

```
Nd3FeSn
1.0
5.213 0.000 0.000
0.000 5.213 0.000
0.000 0.000 5.213
Nd Fe Sn
3 1 1
direct
0.000 0.000 0.500
0.000 0.500 0.000
0.500 0.000 0.000
0.000 0.000 0.000
0.500 0.500 0.500
```

Entry 11:
Nd4FeSn8: optimized geometry, PBE-GGA.

The total energy is -5.1387 eV per atom. As for the symmetry: Pmm2.

```
Nd4FeSn8
1.0
4.505 0.000 0.000
0.000 4.593 0.000
0.000 0.000 16.864
Nd Fe Sn
4 1 8
direct
0.000 0.000 0.000
0.000 0.500 0.494
0.500 0.000 0.793
0.500 0.500 0.297
0.000 0.500 0.700
0.000 0.000 0.332
0.000 0.000 0.637
0.000 0.500 0.147
0.000 0.500 0.850
0.500 0.000 0.150
0.500 0.000 0.456
0.500 0.500 0.635
0.500 0.500 0.968
```

Entry 12:
NdFeSn2: optimized geometry, PBE-GGA.

The total energy is -5.0610 eV per atom. As for the symmetry: R-3m.

```
NdFeSn2
1.0
1.673 0.966 10.359
-1.673 0.966 10.359
0.000 -1.932 10.359
Nd Fe Sn
1 1 2
direct
0.000 0.000 0.000
0.500 0.500 0.500
0.105 0.105 0.105
0.895 0.895 0.895
```